No. 1
Entry from Alexandria: crystalline MgCrIn at its relaxed geometry (PBE-GGA).

a = 4.6557 Å, b = 4.6557 Å, c = 4.6557 Å
α = 60.00°, β = 60.00°, γ = 60.00°
Closest atoms and distances in Å follow each position.
Sites, in units of the cell vectors:
Cr1 0.5000 0.5000 0.5000  4 In 2.85
In1 0.2500 0.2500 0.2500  4 Cr 2.85, 4 Mg 2.85
Mg1 0.0000 0.0000 0.0000  4 In 2.85

Values from the calculation:
D(E_F) in states/eV/cell: 3.00
Crystal system: cubic
E in hartree per atom: -0.153
Size of the total moment in μB per cell: 3.6
Energy relative to the elements in eV/f.u.: 1.47

***

No. 2
Entry from Alexandria: crystalline MgCrIn at its relaxed geometry (PBE-GGA).

a = 4.7264 Å, b = 4.7264 Å, c = 3.0889 Å
α = 90.00°, β = 90.00°, γ = 120.00°
Closest atoms and distances in Å follow each position.
Sites, in units of the cell vectors:
Cr1 0.0000 0.0000 0.0257  3 In 2.88, 3 Mg 2.97, 2 Cr 3.09
In1 0.6667 0.3333 0.3268  3 Cr 2.88, 3 Mg 2.90, 2 In 3.09
Mg1 0.3333 0.6667 0.6475  3 In 2.90, 3 Cr 2.97, 2 Mg 3.09

Values from the calculation:
D(E_F) in states/eV/cell: 1.62
Crystal system: trigonal
E in hartree per atom: -0.160
Size of the total moment in μB per cell: 3.7
Energy relative to the elements in eV/f.u.: 0.91

***

No. 3
Entry from Alexandria: crystalline MgMnCr2In at its relaxed geometry (PBE-GGA).

a = 5.0570 Å, b = 4.8544 Å, c = 5.0570 Å
α = 90.00°, β = 90.00°, γ = 90.00°
Closest atoms and distances in Å follow each position.
Sites, in units of the cell vectors:
Cr1 0.0000 0.0000 0.5000  2 In 2.53
Cr2 0.5000 0.0000 0.0000  2 In 2.53
Mg1 0.5000 0.5000 0.5000  8 Cr 3.50, 4 Mn 3.58
Mn1 0.0000 0.5000 0.0000  2 In 2.43
In1 0.0000 0.0000 0.0000  2 Mn 2.43, 4 Cr 2.53

Values from the calculation:
D(E_F) in states/eV/cell: 6.83
Crystal system: tetragonal
E in hartree per atom: -0.182
Size of the total moment in μB per cell: 8.6
Energy relative to the elements in eV/f.u.: 7.95

***

No. 4
Entry from Alexandria: crystalline MgMnCrIn2 at its relaxed geometry (PBE-GGA).

a = 5.2415 Å, b = 4.9861 Å, c = 5.2415 Å
α = 90.00°, β = 90.00°, γ = 90.00°
Closest atoms and distances in Å follow each position.
Sites, in units of the cell vectors:
Cr1 0.5000 0.5000 0.5000  8 In 3.62, 4 Mn 3.71
Mg1 0.0000 0.0000 0.0000  2 Mn 2.49, 4 In 2.62
Mn1 0.0000 0.5000 0.0000  2 Mg 2.49
In1 0.0000 0.0000 0.5000  2 Mg 2.62
In2 0.5000 0.0000 0.0000  2 Mg 2.62

Values from the calculation:
D(E_F) in states/eV/cell: 3.86
Crystal system: tetragonal
E in hartree per atom: -0.150
Size of the total moment in μB per cell: 0.5
Energy relative to the elements in eV/f.u.: 5.49

***

No. 5
Entry from Alexandria: crystalline MgCrIn2N4 at its relaxed geometry (PBE-GGA).

a = 4.8659 Å, b = 4.8659 Å, c = 5.8503 Å
α = 114.57°, β = 114.57°, γ = 90.00°
Closest atoms and distances in Å follow each position.
Sites, in units of the cell vectors:
Mg1 0.0000 0.0000 0.0001  4 N 2.14
Cr1 0.5000 0.5000 0.0001  4 N 1.88
In1 0.7500 0.2500 0.5001  4 N 2.18
In2 0.2500 0.7500 0.5001  4 N 2.18
N1 0.6180 0.6180 0.7814  1 Cr 1.88
N2 0.3821 0.8366 0.2187  1 Cr 1.88
N3 0.8366 0.3821 0.2187  1 Cr 1.88
N4 0.1634 0.1634 0.7814  1 Cr 1.88

Values from the calculation:
D(E_F) in states/eV/cell: 1.01
Crystal system: tetragonal
E in hartree per atom: -0.236
Size of the total moment in μB per cell: 2.0

***

No. 6
Entry from Alexandria: crystalline MgCr2InOs at its relaxed geometry (PBE-GGA).

a = 4.6681 Å, b = 4.6306 Å, c = 4.6681 Å
α = 90.00°, β = 90.00°, γ = 90.00°
Closest atoms and distances in Å follow each position.
Sites, in units of the cell vectors:
Cr1 0.0000 0.0000 0.5000  2 Mg 2.33
Cr2 0.5000 0.0000 0.0000  2 Mg 2.33
Mg1 0.0000 0.0000 0.0000  2 Os 2.32, 4 Cr 2.33
Os1 0.0000 0.5000 0.0000  2 Mg 2.32
In1 0.5000 0.5000 0.5000  8 Cr 3.29, 4 Os 3.30

Values from the calculation:
D(E_F) in states/eV/cell: 5.66
Crystal system: tetragonal
E in hartree per atom: -0.197
Size of the total moment in μB per cell: 7.7
Energy relative to the elements in eV/f.u.: 8.00

***

No. 7
Entry from Alexandria: crystalline Mg2CrInPt at its relaxed geometry (PBE-GGA).

a = 5.1613 Å, b = 5.0105 Å, c = 5.1613 Å
α = 90.00°, β = 90.00°, γ = 90.00°
Closest atoms and distances in Å follow each position.
Sites, in units of the cell vectors:
Cr1 0.5000 0.5000 0.5000  8 Mg 3.60, 4 Pt 3.65
Mg1 0.0000 0.0000 0.5000  2 In 2.58
Mg2 0.5000 0.0000 0.0000  2 In 2.58
Pt1 0.0000 0.5000 0.0000  2 In 2.51
In1 0.0000 0.0000 0.0000  2 Pt 2.51, 4 Mg 2.58

Values from the calculation:
D(E_F) in states/eV/cell: 2.46
Crystal system: tetragonal
E in hartree per atom: -0.129
Size of the total moment in μB per cell: 4.8
Energy relative to the elements in eV/f.u.: 4.03

***

No. 8
Entry from Alexandria: crystalline MgCrInPt at its relaxed geometry (PBE-GGA).

a = 4.5915 Å, b = 4.5915 Å, c = 4.5915 Å
α = 60.00°, β = 60.00°, γ = 60.00°
Closest atoms and distances in Å follow each position.
Sites, in units of the cell vectors:
Cr1 0.7500 0.7500 0.7500  4 Mg 2.81, 4 In 2.81
Mg1 0.5000 0.5000 0.5000  4 Cr 2.81, 4 Pt 2.81
Pt1 0.2500 0.2500 0.2500  4 In 2.81, 4 Mg 2.81
In1 0.0000 0.0000 0.0000  4 Cr 2.81, 4 Pt 2.81

Values from the calculation:
D(E_F) in states/eV/cell: 2.35
Crystal system: cubic
E in hartree per atom: -0.192
Size of the total moment in μB per cell: 3.5
Energy relative to the elements in eV/f.u.: -0.93